# 1
OsPtSe after structural relaxation. Source: the Alexandria database, functional PBEsol.

Lattice parameters (Å, degrees): 4.111 4.111 4.111 60.00 60.00 60.00
Atoms (fractional coordinates):
Os 0.000 0.000 0.000
Pt 0.500 0.500 0.500
Se 0.250 0.250 0.250

Summary:
- Density of states at the Fermi level: 1.0 states/eV per cell
- Formation energy from raw total energies: 643.7 meV per atom
- Space-group type: F-43m (216)

---

# 2
ZrGaAs3 after structural relaxation. Source: the Alexandria database, functional PBEsol.

Lattice parameters (Å, degrees): 5.126 5.126 5.126 90.00 90.00 90.00
Atoms (fractional coordinates):
As 0.000 0.500 0.000
As 0.000 0.000 0.500
As 0.500 0.000 0.000
Ga 0.500 0.500 0.500
Zr 0.000 0.000 0.000

Summary:
- Density of states at the Fermi level: 4.1 states/eV per cell
- Formation energy from the elements: 5.63 kcal/mol of atoms
- Space-group type: Pm-3m (221)

---

# 3
Li2ReOs after structural relaxation. Source: the Alexandria database, functional PBEsol.

Lattice parameters (Å, degrees): 2.927 2.927 6.863 90.00 90.00 90.00
Atoms (fractional coordinates):
Li 0.000 0.000 0.001
Li 0.500 0.500 0.260
Os 0.000 0.000 0.516
Re 0.500 0.500 0.724

Summary:
- Density of states at the Fermi level: 3.6 states/eV per cell
- Formation energy from the elements: 6.78 kcal/mol of atoms
- Space-group type: P4mm (99)

---

# 4
BaMgF4 after structural relaxation. Source: the Alexandria database, functional PBEsol.

Lattice parameters (Å, degrees): 4.153 5.748 7.450 90.00 106.18 90.00
Atoms (fractional coordinates):
Ba 0.855 0.250 0.709
Ba 0.145 0.750 0.291
F 0.313 0.511 0.625
F 0.687 0.011 0.375
F 0.313 0.989 0.625
F 0.687 0.489 0.375
F 0.500 0.500 0.000
F 0.500 0.000 0.000
F 0.914 0.750 0.829
F 0.086 0.250 0.171
Mg 0.409 0.750 0.817
Mg 0.591 0.250 0.183

Summary:
- Density of states at the Fermi level: 0.0 states/eV per cell
- Formation energy from raw total energies: -3704.0 meV per atom
- Space-group type: Cmcm (63)

---

# 5
KBe2Re after structural relaxation. Source: the Alexandria database, functional PBEsol.

Lattice parameters (Å, degrees): 4.696 4.696 8.492 106.05 106.05 90.00
Atoms (fractional coordinates):
Re 0.000 0.000 0.000
Re 0.250 0.750 0.500
K 0.500 0.500 0.000
K 0.750 0.250 0.500
Be 0.625 0.875 0.750
Be 0.125 0.875 0.750
Be 0.125 0.875 0.250
Be 0.125 0.375 0.250

Summary:
- Density of states at the Fermi level: 4.0 states/eV per cell
- Formation energy from the elements: 33.12 kcal/mol of atoms
- Space-group type: I4_1/amd (141)

---

# 6
RbNbFe2 after structural relaxation. Source: the Alexandria database, functional PBEsol.

Lattice parameters (Å, degrees): 4.620 4.620 4.620 60.00 60.00 60.00
Atoms (fractional coordinates):
Nb 0.500 0.500 0.500
Fe 0.250 0.250 0.250
Fe 0.750 0.750 0.750
Rb 0.000 0.000 0.000

Summary:
- Density of states at the Fermi level: 4.4 states/eV per cell
- Formation energy from the elements: 36.36 kcal/mol of atoms
- Space-group type: Fm-3m (225)

---

# 7
LiZrNb2Cr after structural relaxation. Source: the Alexandria database, functional PBEsol.

Lattice parameters (Å, degrees): 4.371 4.371 4.614 90.00 90.00 90.00
Atoms (fractional coordinates):
Cr 0.500 0.500 0.500
Nb 0.000 0.500 0.000
Nb 0.500 0.000 0.000
Zr 0.000 0.000 0.500
Li 0.000 0.000 0.000

Summary:
- Density of states at the Fermi level: 6.9 states/eV per cell
- Formation energy from the elements: 28.96 kcal/mol of atoms
- Space-group type: P4/mmm (123)

---

# 8
Mn2Nb2Sb after structural relaxation. Source: the Alexandria database, functional PBEsol.

Lattice parameters (Å, degrees): 3.215 3.215 8.143 101.38 101.38 90.00
Atoms (fractional coordinates):
Sb 0.000 0.000 0.000
Nb 0.383 0.383 0.767
Nb 0.617 0.617 0.233
Mn 0.250 0.750 0.500
Mn 0.750 0.250 0.500

Summary:
- Density of states at the Fermi level: 4.0 states/eV per cell
- Formation energy from raw total energies: 228.3 meV per atom
- Space-group type: I4/mmm (139)

---

# 9
CaCdRe2Sb after structural relaxation. Source: the Alexandria database, functional PBEsol.

Lattice parameters (Å, degrees): 4.931 4.931 5.230 90.00 90.00 90.00
Atoms (fractional coordinates):
Re 0.000 0.500 0.000
Re 0.500 0.000 0.000
Ca 0.500 0.500 0.500
Cd 0.000 0.000 0.500
Sb 0.000 0.000 0.000

Summary:
- Density of states at the Fermi level: 4.0 states/eV per cell
- Formation energy from raw total energies: 1594.7 meV per atom
- Space-group type: P4/mmm (123)

---

# 10
Y2CrRu after structural relaxation. Source: the Alexandria database, functional PBEsol.

Lattice parameters (Å, degrees): 3.274 4.737 5.923 113.57 106.05 90.00
Atoms (fractional coordinates):
Cr 0.453 0.453 0.906
Ru 0.777 0.277 0.554
Y 0.027 0.027 0.054
Y 0.243 0.743 0.486

Summary:
- Density of states at the Fermi level: 3.9 states/eV per cell
- Formation energy from the elements: 3.15 kcal/mol of atoms
- Space-group type: Imm2 (44)

---

# 11
MoAsSe2S after structural relaxation. Source: the Alexandria database, functional PBEsol.

Lattice parameters (Å, degrees): 4.726 4.726 4.942 90.00 90.00 90.00
Atoms (fractional coordinates):
S 0.500 0.500 0.500
Mo 0.000 0.000 0.000
As 0.000 0.000 0.500
Se 0.000 0.500 0.000
Se 0.500 0.000 0.000

Summary:
- Density of states at the Fermi level: 4.0 states/eV per cell
- Formation energy from raw total energies: 492.3 meV per atom
- Space-group type: P4/mmm (123)

---

# 12
TaTcNi2 after structural relaxation. Source: the Alexandria database, functional PBEsol.

Lattice parameters (Å, degrees): 3.118 3.118 5.392 90.00 90.00 90.00
Atoms (fractional coordinates):
Ni 0.000 0.000 0.005
Ni 0.500 0.500 0.236
Ta 0.000 0.000 0.486
Tc 0.500 0.500 0.773

Summary:
- Density of states at the Fermi level: 4.3 states/eV per cell
- Formation energy from the elements: -3.12 kcal/mol of atoms
- Space-group type: P4mm (99)